Record 1
A relaxed Be2CdSe crystal, computed with PBE.

Calculated values
calculated total energy = -11.452 eV per cell
offset from the most stable computed form = 0 meV/atom
SG = Pm (6)

Cell and atoms, written as POSCAR:
```
Be2CdSe
1.0
3.427 0.000 0.000
0.000 3.467 0.000
-1.690 0.000 5.932
Be Cd Se
2 1 1
Cartesian
0.000 0.000 0.000
0.025 1.734 5.870
1.714 0.000 1.838
1.738 1.734 4.453
```

***

Record 2
A relaxed BeCdSe2 crystal, computed with PBE.

Calculated values
calculated total energy = -11.149 eV per cell
offset from the most stable computed form = 801 meV/atom
SG = I-4m2 (119)

Cell and atoms, written as POSCAR:
```
BeCdSe2
1.0
-1.815 1.815 8.225
1.815 -1.815 8.225
1.815 1.815 -8.225
Be Cd Se
1 1 2
Cartesian
0.000 0.000 0.000
0.000 1.815 4.112
1.815 0.000 4.112
0.000 0.000 8.225
```

***

Record 3
A relaxed BeCd2Se crystal, computed with PBE.

Calculated values
calculated total energy = -8.611 eV per cell
offset from the most stable computed form = 124 meV/atom
SG = Cmm2 (35)

Cell and atoms, written as POSCAR:
```
BeCd2Se
1.0
1.756 -2.899 0.000
1.756 2.899 0.000
0.000 0.000 8.588
Be Cd Se
1 2 1
Cartesian
0.000 0.000 0.000
0.000 0.000 4.599
1.756 0.000 2.040
1.756 0.000 7.419
```

***

Record 4
A relaxed Be2CdSe crystal, computed with PBE.

Calculated values
calculated total energy = -9.126 eV per cell
offset from the most stable computed form = 582 meV/atom
SG = I4/mmm (139)

Cell and atoms, written as POSCAR:
```
Be2CdSe
1.0
-2.038 2.038 3.841
2.038 -2.038 3.841
2.038 2.038 -3.841
Be Cd Se
2 1 1
Cartesian
2.038 0.000 1.920
0.000 2.038 1.920
0.000 0.000 0.000
0.000 0.000 3.841
```

***

Record 5
A relaxed BeCdSe2 crystal, computed with PBE.

Calculated values
calculated total energy = -25.588 eV per cell
offset from the most stable computed form = 390 meV/atom
SG = I4_1/amd (141)

Cell and atoms, written as POSCAR:
```
BeCdSe2
1.0
-2.743 2.743 5.238
2.743 -2.743 5.238
2.743 2.743 -5.238
Be Cd Se
2 2 4
Cartesian
2.743 1.372 1.310
0.000 1.372 3.929
2.743 -1.372 3.929
0.000 4.115 1.310
2.743 1.372 -0.989
0.000 1.372 1.630
2.743 1.372 3.608
0.000 1.372 6.227
```

***

Record 6
A relaxed Be2CdSe crystal, computed with PBE.

Calculated values
calculated total energy = -9.305 eV per cell
offset from the most stable computed form = 537 meV/atom
SG = P4/mmm (123)

Cell and atoms, written as POSCAR:
```
Be2CdSe
1.0
4.294 0.000 0.000
0.000 4.294 0.000
0.000 0.000 3.421
Be Cd Se
2 1 1
Cartesian
0.000 2.147 0.000
2.147 0.000 0.000
0.000 0.000 1.710
2.147 2.147 1.710
```

***

Record 7
A relaxed BeCd2Se crystal, computed with PBE.

Calculated values
calculated total energy = -8.155 eV per cell
offset from the most stable computed form = 238 meV/atom
SG = C2/m (12)

Cell and atoms, written as POSCAR:
```
BeCd2Se
1.0
3.362 -2.058 0.000
3.362 2.058 0.000
-2.514 0.000 5.926
Be Cd Se
1 2 1
Cartesian
0.000 0.000 0.000
-0.209 0.000 4.695
4.420 0.000 1.231
2.106 0.000 2.963
```

***

Record 8
A relaxed Be2CdSe crystal, computed with PBE.

Calculated values
calculated total energy = -10.942 eV per cell
offset from the most stable computed form = 127 meV/atom
SG = R-3m (166)

Cell and atoms, written as POSCAR:
```
Be2CdSe
1.0
1.681 0.971 6.552
-1.681 0.971 6.552
0.000 -1.941 6.552
Be Cd Se
2 1 1
Cartesian
0.000 0.000 4.628
0.000 0.000 15.027
0.000 0.000 0.000
0.000 0.000 9.827
```

***

Record 9
A relaxed BeCd2Se crystal, computed with PBE.

Calculated values
calculated total energy = -6.939 eV per cell
offset from the most stable computed form = 542 meV/atom
SG = Fm-3m (225)

Cell and atoms, written as POSCAR:
```
BeCd2Se
1.0
0.000 3.469 3.469
3.469 0.000 3.469
3.469 3.469 0.000
Be Cd Se
1 2 1
Cartesian
0.000 0.000 0.000
1.735 1.735 1.735
5.204 5.204 5.204
3.469 3.469 3.469
```

***

Record 10
A relaxed BeCdSe2 crystal, computed with PBE.

Calculated values
calculated total energy = -28.471 eV per cell
offset from the most stable computed form = 30 meV/atom
SG = Cm (8)

Cell and atoms, written as POSCAR:
```
BeCdSe2
1.0
6.577 -1.969 0.000
6.577 1.969 0.000
-1.056 0.000 7.026
Be Cd Se
2 2 4
Cartesian
0.000 0.000 0.000
9.484 0.000 1.593
2.517 0.000 5.313
5.939 0.000 3.352
2.197 0.000 0.571
5.118 0.000 5.892
8.573 0.000 3.622
11.731 0.000 1.755
```

***

Record 11
A relaxed BeCdSe2 crystal, computed with PBE.

Calculated values
calculated total energy = -12.176 eV per cell
offset from the most stable computed form = 544 meV/atom
SG = P2/m (10)

Cell and atoms, written as POSCAR:
```
BeCdSe2
1.0
4.208 0.000 0.000
0.000 3.376 0.000
-1.207 0.000 6.575
Be Cd Se
1 1 2
Cartesian
0.000 0.000 0.000
-0.604 0.000 3.288
0.672 1.688 1.465
2.329 1.688 5.110
```

***

Record 12
A relaxed BeCdSe2 crystal, computed with PBE.

Calculated values
calculated total energy = -11.226 eV per cell
offset from the most stable computed form = 782 meV/atom
SG = C2/m (12)

Cell and atoms, written as POSCAR:
```
BeCdSe2
1.0
3.641 -3.601 0.000
3.641 3.601 0.000
-1.842 0.000 4.174
Be Cd Se
1 1 2
Cartesian
0.000 0.000 0.000
3.641 0.000 0.000
1.820 1.800 0.000
1.820 -1.800 0.000
```

***

Raw formation energy list, top to bottom, in eV/atom: 0.1000; 0.1152; 0.1075; 0.6816; -0.2959; 0.6367; 0.2215; 0.2274; 0.5256; -0.6563; -0.1414; 0.0960
Density of states at the Fermi level list, top to bottom, in states/eV per cell: 1.239; 1.485; 1.402; 1.422; 0.727; 1.768; 1.399; 1.077; 0.913; 0.000; 1.016; 0.548
Spin magnetization list, top to bottom, in μB/cell: 0.00; 0.00; 0.00; 0.00; 0.00; 0.00; 0.00; 0.00; 0.00; 0.00; 0.00; 0.00